(1)
ZrZn2Sb | PBEsol | optimized geometry

Results
total magnetization = 0.00 μB per formula unit
space-group type = R3m, No. 160
total DFT energy (no corrections) = -16.92 eV for the cell shown
formation energy (no corrections) = -27.6 meV per atom

Geometry as extended XYZ:
```
4
Lattice="1.581 0.913 9.057 -1.581 0.913 9.057 0.000 -1.826 9.057" Properties=species:S:1:pos:R:3 pbc="T T T"
Zr 0.000 0.000 0.000
Zn 0.000 0.000 6.780
Zn 0.000 0.000 13.950
Sb 0.000 0.000 20.556
```



(2)
BaY2Sc | PBEsol | optimized geometry

Results
total magnetization = 0.00 μB per formula unit
space-group type = Immm, No. 71
ΔH_f (0 K) = 0.244 eV/atom
offset from the most stable computed form = 45.6 meV/atom
total DFT energy (no corrections) = -21.42 eV for the cell shown

Geometry as extended XYZ:
```
4
Lattice="-1.899 2.944 5.902 1.899 -2.944 5.902 1.899 2.944 -5.902" Properties=species:S:1:pos:R:3 pbc="T T T"
Ba 0.000 0.000 0.000
Y 1.899 0.000 3.252
Y 0.000 2.944 2.650
Sc 0.000 0.000 5.902
```



(3)
K3Au | PBEsol | optimized geometry

Results
total magnetization = 0.00 μB per formula unit
space-group type = P4/mmm, No. 123
ΔH_f (0 K) = -0.066 eV/atom
total DFT energy (no corrections) = -7.59 eV for the cell shown

Geometry as extended XYZ:
```
4
Lattice="4.075 0.000 0.000 0.000 4.075 0.000 0.000 0.000 11.002" Properties=species:S:1:pos:R:3 pbc="T T T"
K 0.000 0.000 0.000
K 2.038 2.038 3.711
K 2.038 2.038 7.290
Au 0.000 0.000 5.501
```



(4)
Li5TaO5 | PBEsol | optimized geometry

Results
total magnetization = 0.00 μB per formula unit
space-group type = C2/c, No. 15
offset from the most stable computed form = 41.6 meV/atom
total DFT energy (no corrections) = -148.31 eV for the cell shown
formation energy (no corrections) = -2320.5 meV per atom

Geometry as extended XYZ:
```
22
Lattice="2.830 -4.595 0.000 2.830 4.595 0.000 -2.289 0.000 8.675" Properties=species:S:1:pos:R:3 pbc="T T T"
Li -0.340 1.059 4.709
Li 1.113 3.045 6.506
Li -0.032 1.591 8.144
Li 0.804 -1.059 0.372
Li 2.258 1.591 4.869
Li 1.113 -1.591 3.806
Li 2.567 1.059 8.304
Li 3.403 -1.591 0.531
Li 2.258 -3.045 2.169
Li 3.711 -1.059 3.966
Ta 2.258 0.802 2.169
Ta 1.113 -0.802 6.506
O 0.853 1.034 0.762
O 1.026 1.548 3.419
O -0.291 -1.034 5.100
O 1.113 1.065 6.506
O 3.489 1.548 0.918
O -0.118 -1.548 7.757
O 2.258 -1.065 2.169
O 3.662 1.034 3.576
O 2.345 -1.548 5.256
O 2.518 -1.034 7.913
```



(5)
Y2ZnH2 | PBEsol | optimized geometry

Results
total magnetization = 0.00 μB per formula unit
space-group type = I4/mmm, No. 139
total DFT energy (no corrections) = -24.83 eV for the cell shown

Geometry as extended XYZ:
```
5
Lattice="-1.806 1.806 5.941 1.806 -1.806 5.941 1.806 1.806 -5.941" Properties=species:S:1:pos:R:3 pbc="T T T"
Y 0.000 0.000 1.730
Y 0.000 0.000 10.152
Zn 0.000 0.000 5.941
H 1.806 0.000 2.971
H 0.000 1.806 2.971
```



(6)
BaScIn | PBEsol | optimized geometry

Results
total magnetization = 0.01 μB per formula unit
space-group type = F-43m, No. 216
ΔH_f (0 K) = 0.120 eV/atom
offset from the most stable computed form = 0.0 meV/atom
total DFT energy (no corrections) = -11.38 eV for the cell shown

Geometry as extended XYZ:
```
3
Lattice="0.000 3.796 3.796 3.796 0.000 3.796 3.796 3.796 0.000" Properties=species:S:1:pos:R:3 pbc="T T T"
Ba 0.000 0.000 0.000
Sc 3.796 3.796 3.796
In 1.898 1.898 1.898
```



(7)
HoGe2Pt | PBEsol | optimized geometry

Results
total magnetization = 0.00 μB per formula unit
space-group type = Immm, No. 71
ΔH_f (0 K) = -0.910 eV/atom
total DFT energy (no corrections) = -101.72 eV for the cell shown

Geometry as extended XYZ:
```
16
Lattice="-2.133 4.326 8.116 2.133 -4.326 8.116 2.133 4.326 -8.116" Properties=species:S:1:pos:R:3 pbc="T T T"
Ho 0.000 0.000 3.266
Ho 0.000 2.026 0.000
Ho 0.000 6.627 0.000
Ho 0.000 0.000 12.967
Ge 2.133 0.000 1.202
Ge 2.133 -1.297 4.856
Ge 0.000 0.000 6.920
Ge 2.133 1.297 4.856
Ge 0.000 3.030 3.261
Ge 0.000 0.000 9.313
Ge 0.000 5.623 3.261
Ge 0.000 4.326 6.914
Pt 2.133 2.167 -2.396
Pt 2.133 2.167 2.396
Pt 0.000 2.159 5.720
Pt 0.000 2.159 10.512
```



(8)
Sr3Ta5O15 | PBEsol | optimized geometry

Results
total magnetization = 0.00 μB per formula unit
space-group type = P4/mbm, No. 127
total DFT energy (no corrections) = -432.10 eV for the cell shown
formation energy (no corrections) = -3001.4 meV per atom

Geometry as extended XYZ:
```
46
Lattice="12.448 0.000 0.000 0.000 12.448 0.000 0.000 0.000 3.944" Properties=species:S:1:pos:R:3 pbc="T T T"
Sr 0.000 0.000 0.000
Sr 2.026 4.198 0.000
Sr 4.198 10.422 0.000
Sr 6.224 6.224 0.000
Sr 8.250 2.026 0.000
Sr 10.422 8.250 0.000
Ta 0.000 6.224 1.972
Ta 1.016 9.839 1.972
Ta 2.608 1.016 1.972
Ta 3.616 7.240 1.972
Ta 5.208 3.616 1.972
Ta 6.224 0.000 1.972
Ta 7.240 8.832 1.972
Ta 8.832 5.208 1.972
Ta 9.839 11.432 1.972
Ta 11.432 2.608 1.972
O 0.000 6.224 0.000
O 0.101 4.243 1.972
O 0.763 1.693 1.972
O 1.045 9.889 0.000
O 1.693 11.685 1.972
O 1.981 6.123 1.972
O 2.558 1.045 0.000
O 2.892 9.116 1.972
O 3.331 2.892 1.972
O 3.666 7.269 0.000
O 4.243 12.347 1.972
O 4.531 5.461 1.972
O 5.179 3.666 0.000
O 5.461 7.917 1.972
O 6.123 10.467 1.972
O 6.224 0.000 0.000
O 6.325 1.981 1.972
O 6.987 4.531 1.972
O 7.269 8.782 0.000
O 7.917 6.987 1.972
O 8.205 0.101 1.972
O 8.782 5.179 0.000
O 9.116 9.555 1.972
O 9.555 3.331 1.972
O 9.889 11.402 0.000
O 10.467 6.325 1.972
O 10.755 0.763 1.972
O 11.402 2.558 0.000
O 11.685 10.755 1.972
O 12.347 8.205 1.972
```



(9)
La2Cl | PBEsol | optimized geometry

Results
total magnetization = 0.00 μB per formula unit
space-group type = Pnnm, No. 58
offset from the most stable computed form = 30.7 meV/atom
total DFT energy (no corrections) = -31.56 eV for the cell shown
formation energy (no corrections) = -1027.1 meV per atom

Geometry as extended XYZ:
```
6
Lattice="6.509 0.000 0.000 0.000 7.148 0.000 0.000 0.000 3.755" Properties=species:S:1:pos:R:3 pbc="T T T"
La 1.272 1.036 0.000
La 1.983 4.609 1.878
La 4.526 2.538 1.878
La 5.237 6.112 0.000
Cl 0.000 3.574 0.000
Cl 3.255 0.000 1.878
```



(10)
LaAlIn | PBEsol | optimized geometry

Results
total magnetization = 0.00 μB per formula unit
space-group type = P-6m2, No. 187
ΔH_f (0 K) = -0.493 eV/atom
total DFT energy (no corrections) = -13.90 eV for the cell shown

Geometry as extended XYZ:
```
3
Lattice="4.772 0.000 0.000 -2.386 4.132 0.000 0.000 0.000 3.812" Properties=species:S:1:pos:R:3 pbc="T T T"
La 0.000 0.000 0.000
Al 0.000 2.755 1.906
In 2.386 1.377 1.906
```



(11)
CrRe2Se | PBEsol | optimized geometry

Results
total magnetization = 0.00 μB per formula unit
space-group type = R3m, No. 160
offset from the most stable computed form = 99.1 meV/atom
total DFT energy (no corrections) = -39.74 eV for the cell shown
formation energy (no corrections) = 254.4 meV per atom

Geometry as extended XYZ:
```
4
Lattice="1.404 0.810 8.304 -1.404 0.810 8.304 0.000 -1.621 8.304" Properties=species:S:1:pos:R:3 pbc="T T T"
Cr 0.000 0.000 0.000
Re 0.000 0.000 12.516
Re 0.000 0.000 18.717
Se 0.000 0.000 6.523
```



(12)
ZrSc2Be | PBEsol | optimized geometry

Results
total magnetization = 0.00 μB per formula unit
space-group type = P4/mmm, No. 123
ΔH_f (0 K) = -0.005 eV/atom
total DFT energy (no corrections) = -26.32 eV for the cell shown

Geometry as extended XYZ:
```
4
Lattice="3.134 0.000 0.000 0.000 3.134 0.000 0.000 0.000 7.755" Properties=species:S:1:pos:R:3 pbc="T T T"
Zr 0.000 0.000 0.000
Sc 1.567 1.567 2.277
Sc 1.567 1.567 5.478
Be 0.000 0.000 3.878
```



What is the total magnetization in the first record? 0.00 μB per formula unit



Repeat the eleventh record exactly.
CrRe2Se | PBEsol | optimized geometry

Results
total magnetization = 0.00 μB per formula unit
space-group type = R3m, No. 160
offset from the most stable computed form = 99.1 meV/atom
total DFT energy (no corrections) = -39.74 eV for the cell shown
formation energy (no corrections) = 254.4 meV per atom

Geometry as extended XYZ:
```
4
Lattice="1.404 0.810 8.304 -1.404 0.810 8.304 0.000 -1.621 8.304" Properties=species:S:1:pos:R:3 pbc="T T T"
Cr 0.000 0.000 0.000
Re 0.000 0.000 12.516
Re 0.000 0.000 18.717
Se 0.000 0.000 6.523
```



Which of these has the highest total DFT energy (no corrections)? K3Au



Which of these has the highest total magnetization? BaScIn